# PBE+U Cs3HgW2O8, relaxed
# D(E_F) = 3.3 states/eV/f.u.
# ρ = 5.6 g/cm³
# Crystal system = trigonal
# E_tot = -5.83 eV per atom
data_Cs3HgW2O8
_chemical_formula_sum 'Cs3 Hg1 W2 O8'
_symmetry_space_group_name_H-M 'P -3 m 1'
_symmetry_Int_Tables_number 164
_symmetry_space_group_name_Hall '-P 3 2"'
_cell_length_a 6.6272
_cell_length_b 6.6272
_cell_length_c 8.5511
_cell_angle_alpha 90.00
_cell_angle_beta 90.00
_cell_angle_gamma 120.00
loop_
_atom_site_label
_atom_site_type_symbol
_atom_site_fract_x
_atom_site_fract_y
_atom_site_fract_z
Cs1 Cs 0.0000 0.0000 0.0000
Cs2 Cs 0.3333 0.6667 0.6660
Hg1 Hg 0.0000 0.0000 0.5000
W1 W 0.3333 0.6667 0.2159
O1 O 0.1839 0.3678 0.2897
O2 O 0.3333 0.6667 0.0051